The following is a GGA+U calculation of a relaxed RbMnZn2F crystal, from the Alexandria database.

The space group is P4/mmm (No. 123) and the conventional cell measures 6.040, 6.040 and 4.001 Å, with angles of 90.00, 90.00 and 90.00 degrees. Symmetry generates all atoms from Rb at (0.000, 0.000, 0.000), Mn at (0.500, 0.500, 0.000), Zn at (0.000, 0.500, 0.500) and F at (0.500, 0.500, 0.500).

For the density of states at the Fermi level, the calculation gives 0.60 states/eV per atom. Its magnetic moment is 4.6 μB/f.u. Its total energy is -2.792 eV/atom.